one.
B3PdPb | GGA-PBE | optimized geometry

## Properties
* space-group type: Pm-3m

Lattice parameters (Å, degrees): 4.5837 4.5837 4.5837 90.00 90.00 90.00
Element x y z (fractional)
Pb: 0.0000 0.0000 0.0000
B: 0.0000 0.5000 0.0000
B: 0.0000 0.0000 0.5000
B: 0.5000 0.0000 0.0000
Pd: 0.5000 0.5000 0.5000

two.
B3PdPb | GGA-PBE | optimized geometry

## Properties
* space-group type: Pm-3m

Lattice parameters (Å, degrees): 4.2320 4.2320 4.2320 90.00 90.00 90.00
Element x y z (fractional)
Pb: 0.5000 0.5000 0.5000
B: 0.0000 0.5000 0.0000
B: 0.0000 0.0000 0.5000
B: 0.5000 0.0000 0.0000
Pd: 0.0000 0.0000 0.0000

Short version: two, one, most stable first.

one.
BPtPb3 | GGA-PBE | optimized geometry

## Properties
* space-group type: Pm-3m

Lattice parameters (Å, degrees): 5.3968 5.3968 5.3968 90.00 90.00 90.00
Element x y z (fractional)
Pb: 0.0000 0.5000 0.0000
Pb: 0.0000 0.0000 0.5000
Pb: 0.5000 0.0000 0.0000
B: 0.5000 0.5000 0.5000
Pt: 0.0000 0.0000 0.0000

two.
BPtPb3 | GGA-PBE | optimized geometry

## Properties
* space-group type: Pm-3m

Lattice parameters (Å, degrees): 4.9323 4.9323 4.9323 90.00 90.00 90.00
Element x y z (fractional)
Pb: 0.0000 0.5000 0.0000
Pb: 0.0000 0.0000 0.5000
Pb: 0.5000 0.0000 0.0000
B: 0.0000 0.0000 0.0000
Pt: 0.5000 0.5000 0.5000

Short version: two, one, most stable first.

one.
RbBPb3 | GGA-PBE | optimized geometry

## Properties
* space-group type: Pm-3m

Lattice parameters (Å, degrees): 5.3652 5.3652 5.3652 90.00 90.00 90.00
Element x y z (fractional)
Pb: 0.0000 0.5000 0.0000
Pb: 0.0000 0.0000 0.5000
Pb: 0.5000 0.0000 0.0000
B: 0.0000 0.0000 0.0000
Rb: 0.5000 0.5000 0.5000

two.
RbBPb3 | GGA-PBE | optimized geometry

## Properties
* space-group type: Pm-3m

Lattice parameters (Å, degrees): 6.1988 6.1988 6.1988 90.00 90.00 90.00
Element x y z (fractional)
Pb: 0.0000 0.5000 0.0000
Pb: 0.0000 0.0000 0.5000
Pb: 0.5000 0.0000 0.0000
B: 0.5000 0.5000 0.5000
Rb: 0.0000 0.0000 0.0000

Short version: one, two, most stable first.

one.
RbB3Pb | GGA-PBE | optimized geometry

## Properties
* space-group type: Pm-3m

Lattice parameters (Å, degrees): 4.9790 4.9790 4.9790 90.00 90.00 90.00
Element x y z (fractional)
Pb: 0.5000 0.5000 0.5000
B: 0.0000 0.5000 0.0000
B: 0.0000 0.0000 0.5000
B: 0.5000 0.0000 0.0000
Rb: 0.0000 0.0000 0.0000

two.
RbB3Pb | GGA-PBE | optimized geometry

## Properties
* space-group type: Pm-3m

Lattice parameters (Å, degrees): 4.9762 4.9762 4.9762 90.00 90.00 90.00
Element x y z (fractional)
Pb: 0.0000 0.0000 0.0000
B: 0.0000 0.5000 0.0000
B: 0.0000 0.0000 0.5000
B: 0.5000 0.0000 0.0000
Rb: 0.5000 0.5000 0.5000

Short version: two, one, most stable first.